# InCoMo2

Crystalline InCoMo2 at its relaxed geometry (PBE, the Alexandria database).

Output
As for the total moment: 0.000 μB/atom. As for the space group: I-42d (122). The value obtained for the density of states at the Fermi level is 1.335 states/eV/atom. For the energy of formation, the calculation gives 0.65 eV/atom.

a b c (Å): 7.2049 7.2049 5.1922
angles (deg): 90.00 90.00 90.00
With the nearest neighbours (Å) after each atom.
Sites, in units of the cell vectors:
In  0.0000  0.0000  0.0000  2 Co 2.60, 4 Mo 2.89
In  0.0000  0.5000  0.2500  2 Co 2.60, 4 Mo 2.89
In  0.5000  0.0000  0.7500  2 Co 2.60, 4 Mo 2.89
In  0.5000  0.5000  0.5000  2 Co 2.60, 4 Mo 2.89
Co  0.0000  0.0000  0.5000  4 Mo 2.40, 2 In 2.60
Co  0.0000  0.5000  0.7500  4 Mo 2.40, 2 In 2.60
Co  0.5000  0.0000  0.2500  4 Mo 2.40, 2 In 2.60
Co  0.5000  0.5000  0.0000  4 Mo 2.40, 2 In 2.60
Mo  0.2001  0.7500  0.6250  2 Co 2.40
Mo  0.2500  0.2001  0.3750  2 Co 2.40
Mo  0.2500  0.2999  0.8750  2 Co 2.40
Mo  0.2999  0.7500  0.1250  2 Co 2.40
Mo  0.7001  0.2500  0.1250  2 Co 2.40
Mo  0.7500  0.7001  0.8750  2 Co 2.40
Mo  0.7500  0.7999  0.3750  2 Co 2.40
Mo  0.7999  0.2500  0.6250  2 Co 2.40